# PBE-GGA LiHfIn, relaxed
# * energy relative to the lowest polymorph listed for this composition: 0.000 eV per atom
# * formation energy: -21.4 kJ per mole of atoms
# * Fermi-level density of states: 1.37 states/eV/f.u.
# * VASP energy: -5.09 eV per atom
# * calculated volume: 20.05 Å³ per atom
data_LiHfIn
_cell_length_a 3.176
_cell_length_b 3.176
_cell_length_c 11.924
_cell_angle_alpha 90.00
_cell_angle_beta 90.00
_cell_angle_gamma 90.00
_symmetry_space_group_name_H-M 'P 4/n m m'
_symmetry_Int_Tables_number 129
loop_
_symmetry_equiv_pos_as_xyz
'x,y,z'
'-x,-y,-z'
'-y+1/2,x,z'
'y+1/2,-x,-z'
'-x+1/2,-y+1/2,z'
'x+1/2,y+1/2,-z'
'y,-x+1/2,z'
'-y,x+1/2,-z'
'x+1/2,-y,-z'
'-x+1/2,y,z'
'-y,-x,-z'
'y,x,z'
'-x,y+1/2,-z'
'x,-y+1/2,z'
'y+1/2,x+1/2,-z'
'-y+1/2,-x+1/2,z'
loop_
_atom_site_label
_atom_site_fract_x
_atom_site_fract_y
_atom_site_fract_z
Li1 0.250 0.250 0.069
Hf1 0.250 0.250 0.410
In1 0.250 0.250 0.785